# YTl3Sn (PBE, optimized geometry)
# Total moment ... 0.000 μB per cell
# Symmetry ... No. 221
# Energy ... -2.993 eV per atom
# DFT formation energy ... 520 meV per atom
data_YTl3Sn
_chemical_formula_sum 'Y1 Tl3 Sn1'
_cell_length_a 5.839
_cell_length_b 5.839
_cell_length_c 5.839
_cell_angle_alpha 90.00
_cell_angle_beta 90.00
_cell_angle_gamma 90.00
_space_group_name_H-M_alt 'P 1'
_space_group_IT_number 1
_space_group_name_Hall 'P 1'
loop_
_atom_site_label
_atom_site_type_symbol
_atom_site_fract_x
_atom_site_fract_y
_atom_site_fract_z
Y1 Y 0.000 0.000 0.000
Tl1 Tl 0.000 0.500 0.000
Tl2 Tl 0.000 0.000 0.500
Tl3 Tl 0.500 0.000 0.000
Sn1 Sn 0.500 0.500 0.500